First-principles (PBE) data for an optimized crystal structure of LaTm4Ag5, as listed in OQMD.

Geometry as CIF:
```
data_LaTm4Ag5
_symmetry_space_group_name_H-M 'P 1'
_symmetry_Int_Tables_number 1
_cell_length_a 3.594
_cell_length_b 3.594
_cell_length_c 18.250
_cell_angle_alpha 90.00
_cell_angle_beta 90.00
_cell_angle_gamma 90.00
loop_
_symmetry_equiv_pos_as_xyz
'x,y,z'
loop_
_atom_site_label
_atom_site_type_symbol
_atom_site_fract_x
_atom_site_fract_y
_atom_site_fract_z
_atom_site_occupancy
La1 La 0.000 0.000 0.000 1
Tm1 Tm 0.000 0.000 0.208 1
Tm2 Tm 0.000 0.000 0.403 1
Tm3 Tm 0.000 0.000 0.597 1
Tm4 Tm 0.000 0.000 0.792 1
Ag1 Ag 0.500 0.500 0.116 1
Ag2 Ag 0.500 0.500 0.305 1
Ag3 Ag 0.500 0.500 0.500 1
Ag4 Ag 0.500 0.500 0.695 1
Ag5 Ag 0.500 0.500 0.884 1
```

- Energy relative to the elements: -0.332 eV per atom
- Theoretical density: 9.54 g/cm³
- Size of the total moment: 0.283 μB/f.u.

***

First-principles (PBE) data for an optimized crystal structure of LaUAg, as listed in OQMD.

Geometry as CIF:
```
data_LaUAg
_symmetry_space_group_name_H-M 'P 1'
_symmetry_Int_Tables_number 1
_cell_length_a 5.068
_cell_length_b 5.068
_cell_length_c 5.068
_cell_angle_alpha 60.00
_cell_angle_beta 60.00
_cell_angle_gamma 60.00
loop_
_symmetry_equiv_pos_as_xyz
'x,y,z'
loop_
_atom_site_label
_atom_site_type_symbol
_atom_site_fract_x
_atom_site_fract_y
_atom_site_fract_z
_atom_site_occupancy
La1 La 0.000 0.000 0.000 1
U1 U 0.500 0.500 0.500 1
Ag1 Ag 0.250 0.250 0.250 1
```

- ΔE to the lowest computed polymorph: 0.000 eV/atom
- Energy relative to the elements: 0.732 eV per atom
- Theoretical density: 8.74 g/cm³
- Size of the total moment: 4.251 μB/f.u.

***

First-principles (PBE) data for an optimized crystal structure of LaAgW, as listed in OQMD.

Geometry as CIF:
```
data_LaAgW
_symmetry_space_group_name_H-M 'P 1'
_symmetry_Int_Tables_number 1
_cell_length_a 4.686
_cell_length_b 4.686
_cell_length_c 4.686
_cell_angle_alpha 60.00
_cell_angle_beta 60.00
_cell_angle_gamma 60.00
loop_
_symmetry_equiv_pos_as_xyz
'x,y,z'
loop_
_atom_site_label
_atom_site_type_symbol
_atom_site_fract_x
_atom_site_fract_y
_atom_site_fract_z
_atom_site_occupancy
La1 La 0.000 0.000 0.000 1
Ag1 Ag 0.500 0.500 0.500 1
W1 W 0.750 0.750 0.750 1
```

- ΔE to the lowest computed polymorph: 0.000 eV/atom
- Energy relative to the elements: 1.139 eV per atom
- Theoretical density: 9.82 g/cm³
- Size of the total moment: 1.698 μB/f.u.